CsSrCo3 | PBE-GGA | optimized geometry

Formation energy   1.88 eV/atom
DOS(E_F)   5.10 states/eV/f.u.
Energy   -2.89 eV/atom

a b c (Å): 4.8896 4.8896 4.8896
angles (deg): 90.00 90.00 90.00
Site moments in Bohr magnetons follow the coordinates.
Fractional positions:
Cs: 0.0000 0.0000 0.0000  -0.06
Sr: 0.5000 0.5000 0.5000  -0.05
Co: 0.0000 0.5000 0.0000  0.95
Co: 0.0000 0.0000 0.5000  0.81
Co: 0.5000 0.0000 0.0000  0.79

---

CsSrTaCo2 | PBE-GGA | optimized geometry

Formation energy   2.59 eV/atom
DOS(E_F)   10.93 states/eV/f.u.
Energy   -3.13 eV/atom

a b c (Å): 4.8030 5.6012 4.8030
angles (deg): 90.00 90.00 90.00
Site moments in Bohr magnetons follow the coordinates.
Fractional positions:
Cs: 0.0000 0.5000 0.0000  0.05
Sr: 0.0000 0.0000 0.0000  -0.09
Co: 0.0000 0.0000 0.5000  1.42
Co: 0.5000 0.0000 0.0000  1.25
Ta: 0.5000 0.5000 0.5000  1.55

---

CsSr2VCo | PBE-GGA | optimized geometry

Formation energy   0.62 eV/atom
DOS(E_F)   6.56 states/eV/f.u.
Energy   -3.47 eV/atom

a b c (Å): 6.1227 4.6766 6.1227
angles (deg): 90.00 90.00 90.00
Site moments in Bohr magnetons follow the coordinates.
Fractional positions:
Cs: 0.5000 0.5000 0.5000  -0.01
Sr: 0.0000 0.0000 0.5000  0.03
Sr: 0.5000 0.0000 0.0000  0.01
Co: 0.0000 0.0000 0.0000  -0.76
V: 0.0000 0.5000 0.0000  2.39